A relaxed structure of Sm4GaGeO, computed with PBE-GGA.

Results
Spin magnetization (μB/cell): 0.0
Formation energy without anion corrections (meV per atom): -1196
E (eV per atom): -5.693

Cell: 6.5844 6.5757 8.6646 Å, 90.00 112.33 90.00°
Positions (direct):
1 O 0.7544 0.2500 0.5088
2 Sm 0.4273 0.7500 0.8545
3 O 0.2456 0.7500 0.4912
4 Sm 0.0000 0.5000 0.5000
5 Sm 0.9259 0.2500 0.8517
6 Ge 0.8862 0.7500 0.7725
7 Ga 0.6141 0.7500 0.2282
8 Sm 0.5000 0.0000 0.5000
9 Sm 0.5000 0.5000 0.5000
10 Sm 0.0000 0.0000 0.5000
11 Ga 0.3859 0.2500 0.7718
12 Ge 0.1138 0.2500 0.2275
13 Sm 0.0741 0.7500 0.1483
14 Sm 0.5727 0.2500 0.1455

A relaxed structure of K2CrAgRu, computed with PBE-GGA.

Results
Calculated formation energy (eV/atom): 1.0466
Spin magnetization (μB/cell): 3.0
E (eV per atom): -3.742

Cell: 6.3193 4.4880 6.3193 Å, 90.00 90.00 90.00°
Site moments in Bohr magnetons follow the coordinates.
Positions (direct):
1 Ru 0.0000 0.0000 0.0000  -0.82
2 K 0.0000 0.0000 0.5000  0.01
3 K 0.5000 0.0000 0.0000  0.00
4 Ag 0.5000 0.5000 0.5000  -0.01
5 Cr 0.0000 0.5000 0.0000  3.22

A relaxed structure of NpZnGa, computed with PBE-GGA.

Results
Calculated formation energy (eV/atom): 0.1354
Spin magnetization (μB/cell): 3.4
E (eV per atom): -5.612

Cell: 4.2682 4.2682 7.7389 Å, 73.99 73.99 60.00°
Site moments in Bohr magnetons follow the coordinates.
Positions (direct):
1 Zn 0.7053 0.7053 0.8841  0.00
2 Ga 0.4119 0.4119 0.7644  -0.02
3 Np 0.8438 0.8438 0.4685  1.76
4 Ga 0.5881 0.5881 0.2356  -0.02
5 Zn 0.2947 0.2947 0.1159  0.00
6 Np 0.1562 0.1562 0.5315  1.76

A relaxed structure of Ac2HfCrS6, computed with PBE-GGA.

Results
Spin magnetization (μB/cell): 4.9
Formation energy without anion corrections (meV per atom): -1534
E (eV per atom): -6.789

Cell: 6.7338 6.8618 9.6219 Å, 90.00 90.00 90.00°
Site moments in Bohr magnetons follow the coordinates.
Positions (direct):
1 Cr 0.5000 0.2406 0.0000  2.46
2 S 0.7515 0.5239 0.5000  0.00
3 S 0.7485 0.4761 0.0000  0.00
4 S 0.5000 0.2350 0.7566  0.00
5 S 0.2435 0.0037 0.5000  0.00
6 Ac 0.5000 0.7746 0.2686  0.00
7 Ac 0.0000 0.2254 0.2314  0.00
8 S 0.2485 0.5239 0.5000  0.00
9 Ac 0.5000 0.7746 0.7314  0.00
10 S 0.5000 0.2350 0.2434  0.00
11 S 0.0000 0.7650 0.2566  0.00
12 Hf 0.5000 0.2664 0.5000  -0.13
13 S 0.0000 0.7650 0.7434  0.00
14 Ac 0.0000 0.2254 0.7686  0.00
15 S 0.2515 0.4761 0.0000  0.00
16 S 0.2565 0.9963 0.0000  0.00
17 S 0.7435 0.9963 0.0000  0.00
18 Cr 0.0000 0.7594 0.5000  2.46
19 S 0.7565 0.0037 0.5000  0.00
20 Hf 0.0000 0.7336 0.0000  -0.13

The D(E_F) results, record by record, are as follows: 5.6; 4.8; 3.5; 3.3 states/eV/f.u..